1.
Crystalline Li2DyInCl6 at its relaxed geometry. Source: Alexandria, functional PBE.

Values from the calculation:
E_form (uncorrected): -1.78 eV per atom

a b c (Å): 6.922 6.919 7.472
angles (deg): 62.39 62.38 60.00
Fractional coordinates of all 10 atoms:
Li 0.525 0.526 0.423
Li 0.014 0.014 0.956
Dy 0.321 0.321 0.038
In 0.800 0.799 0.602
Cl 0.588 0.263 0.237
Cl 0.263 0.911 0.238
Cl 0.911 0.589 0.237
Cl 0.330 0.736 0.761
Cl 0.736 0.173 0.762
Cl 0.173 0.330 0.762

2.
Crystalline DyMgInCl6 at its relaxed geometry. Source: Alexandria, functional PBE.

Values from the calculation:
E_form (uncorrected): -1.83 eV per atom

a b c (Å): 6.784 6.784 14.045
angles (deg): 90.00 90.00 120.00
Fractional coordinates of all 18 atoms:
Dy 0.667 0.333 0.250
Dy 0.333 0.667 0.750
Mg 0.333 0.667 0.250
Mg 0.667 0.333 0.750
In 0.000 0.000 0.000
In 0.000 0.000 0.500
Cl 0.620 0.633 0.145
Cl 0.013 0.380 0.145
Cl 0.380 0.013 0.645
Cl 0.987 0.620 0.855
Cl 0.367 0.380 0.355
Cl 0.013 0.633 0.355
Cl 0.633 0.013 0.855
Cl 0.620 0.987 0.355
Cl 0.987 0.367 0.645
Cl 0.367 0.987 0.145
Cl 0.633 0.620 0.645
Cl 0.380 0.367 0.855

3.
Crystalline DyMnInCl6 at its relaxed geometry. Source: Alexandria, functional PBE.

Values from the calculation:
E_form (uncorrected): -1.31 eV per atom

a b c (Å): 6.462 6.462 14.440
angles (deg): 90.00 90.00 120.00
Last column: magnetic moment on the atom in μB.
Fractional coordinates of all 18 atoms:
Dy 0.667 0.333 0.250  -0.01
Dy 0.333 0.667 0.750  -0.01
Mn 0.333 0.667 0.250  0.93
Mn 0.667 0.333 0.750  0.93
In 0.000 0.000 0.000  0.00
In 0.000 0.000 0.500  0.00
Cl 0.620 0.653 0.151  0.00
Cl 0.033 0.380 0.151  0.00
Cl 0.380 0.033 0.651  0.00
Cl 0.967 0.620 0.849  0.00
Cl 0.347 0.380 0.349  0.00
Cl 0.033 0.653 0.349  0.00
Cl 0.653 0.033 0.849  0.00
Cl 0.620 0.967 0.349  0.00
Cl 0.967 0.347 0.651  0.00
Cl 0.347 0.967 0.151  0.00
Cl 0.653 0.620 0.651  0.00
Cl 0.380 0.347 0.849  0.00

Number 1: D(E_F) 0.00 states/eV per cell. Number 2: D(E_F) 0.00 states/eV per cell. Number 3: D(E_F) 17.25 states/eV per cell.